Record 1
DFT (SCAN) results for YMn2In at its PBEsol-relaxed geometry.

a = 3.8300 Å, b = 4.3105 Å, c = 4.3105 Å
α = 90.00°, β = 90.00°, γ = 90.00°
Site moments in Bohr magnetons follow the coordinates.
Positions (direct):
In 0.5000 0.0000 0.0000  -0.14
Y 0.5000 0.5000 0.5000  -0.37
Mn 0.0000 0.0000 0.5000  3.62
Mn 0.0000 0.5000 0.0000  3.62

Calculated values
energy of formation: -21.1 kJ/mol of formula units

Record 2
DFT (SCAN) results for MnZnIn2 at its PBEsol-relaxed geometry.

a = 3.1519 Å, b = 4.7718 Å, c = 5.3808 Å
α = 100.94°, β = 90.00°, γ = 109.28°
Site moments in Bohr magnetons follow the coordinates.
Positions (direct):
Zn 0.5000 0.0000 0.0000  -0.02
Mn 0.0000 0.0000 0.5000  3.98
In 0.2511 0.5021 0.2542  -0.05
In 0.7489 0.4979 0.7458  -0.05

Calculated values
energy of formation: 37.0 kJ/mol of formula units

Record 3
DFT (SCAN) results for ZrMnZnIn2 at its PBEsol-relaxed geometry.

a = 5.0457 Å, b = 5.4235 Å, c = 5.4235 Å
α = 90.00°, β = 90.00°, γ = 90.00°
Site moments in Bohr magnetons follow the coordinates.
Positions (direct):
In 0.0000 0.5000 0.0000  -0.07
In 0.0000 0.0000 0.5000  -0.07
Mn 0.5000 0.5000 0.5000  4.69
Zn 0.5000 0.0000 0.0000  -0.11
Zr 0.0000 0.0000 0.0000  -0.51

Calculated values
energy of formation: 426.8 kJ/mol of formula units

Record 4
DFT (SCAN) results for Zr2MnIn at its PBEsol-relaxed geometry.

a = 3.2319 Å, b = 4.7351 Å, c = 5.6603 Å
α = 114.73°, β = 106.59°, γ = 90.00°
Site moments in Bohr magnetons follow the coordinates.
Positions (direct):
In 0.5348 0.5348 0.0697  -0.02
Zr 0.7484 0.2484 0.4967  -0.59
Zr 0.9606 0.9606 0.9211  -0.40
Mn 0.2562 0.7562 0.5124  2.88

Calculated values
energy of formation: -48.5 kJ/mol of formula units

Record 5
DFT (SCAN) results for Zr2MnIn at its PBEsol-relaxed geometry.

a = 3.1773 Å, b = 3.1773 Å, c = 7.3187 Å
α = 90.00°, β = 90.00°, γ = 90.00°
Positions (direct):
Zr 0.0000 0.0000 0.2076
Zr 0.0000 0.0000 0.7924
In 0.5000 0.5000 0.5000
Mn 0.5000 0.5000 0.0000

Calculated values
energy of formation: -106.1 kJ/mol of formula units

Record 6
DFT (SCAN) results for InMo2 at its PBEsol-relaxed geometry.

a = 4.3685 Å, b = 4.3685 Å, c = 4.3685 Å
α = 60.00°, β = 60.00°, γ = 60.00°
Positions (direct):
In 0.0000 0.0000 0.0000
Mo 0.7500 0.7500 0.7500
Mo 0.2500 0.2500 0.2500

Calculated values
distance to the lowest polymorph of the same formula: 1.061 eV per atom
energy of formation: 409.4 kJ/mol of formula units

Record 7
DFT (SCAN) results for InMo3 at its PBEsol-relaxed geometry.

a = 2.9918 Å, b = 2.9918 Å, c = 8.8874 Å
α = 80.31°, β = 80.31°, γ = 60.00°
Positions (direct):
Mo 0.7583 0.7583 0.7250
Mo 0.2417 0.2417 0.2750
Mo 0.5000 0.5000 0.5000
In 0.0000 0.0000 0.0000

Calculated values
energy of formation: 163.6 kJ/mol of formula units

Record 8
DFT (SCAN) results for InMo2 at its PBEsol-relaxed geometry.

a = 3.0438 Å, b = 3.0438 Å, c = 6.6228 Å
α = 90.00°, β = 90.00°, γ = 120.00°
Positions (direct):
Mo 0.3333 0.6667 0.3643
Mo 0.6667 0.3333 0.6357
In 0.0000 0.0000 0.0000

Calculated values
distance to the lowest polymorph of the same formula: 0.000 eV per atom
energy of formation: 102.2 kJ/mol of formula units

Record 9
DFT (SCAN) results for InMo4 at its PBEsol-relaxed geometry.

a = 4.1846 Å, b = 4.1846 Å, c = 6.1024 Å
α = 110.05°, β = 110.05°, γ = 90.00°
Positions (direct):
Mo 0.7500 0.2500 0.5000
Mo 0.3820 0.3820 0.7640
Mo 0.2500 0.7500 0.5000
Mo 0.6180 0.6180 0.2360
In 0.0000 0.0000 0.0000

Calculated values
distance to the lowest polymorph of the same formula: 0.355 eV per atom
energy of formation: 322.3 kJ/mol of formula units

Record 10
DFT (SCAN) results for InMo4 at its PBEsol-relaxed geometry.

a = 4.4319 Å, b = 4.8232 Å, c = 4.8232 Å
α = 77.81°, β = 62.65°, γ = 62.65°
Positions (direct):
Mo 0.1993 0.3776 0.2238
Mo 0.5769 0.2238 0.6224
Mo 0.4231 0.7762 0.3776
Mo 0.8007 0.6224 0.7762
In 0.0000 0.0000 0.0000

Calculated values
distance to the lowest polymorph of the same formula: 0.000 eV per atom
energy of formation: 151.3 kJ/mol of formula units

Record 11
DFT (SCAN) results for InMo3N at its PBEsol-relaxed geometry.

a = 4.8154 Å, b = 4.8154 Å, c = 4.8154 Å
α = 90.00°, β = 90.00°, γ = 90.00°
Site moments in Bohr magnetons follow the coordinates.
Positions (direct):
Mo 0.0000 0.5000 0.0000  -2.96
Mo 0.5000 0.0000 0.0000  -2.96
Mo 0.0000 0.0000 0.5000  -2.96
In 0.0000 0.0000 0.0000  -0.08
N 0.5000 0.5000 0.5000  1.30

Calculated values
distance to the lowest polymorph of the same formula: 3.730 eV per atom
raw formation energy: 3.677 eV/atom

Record 12
DFT (SCAN) results for InMo3N at its PBEsol-relaxed geometry.

a = 4.1345 Å, b = 4.1345 Å, c = 4.1345 Å
α = 90.00°, β = 90.00°, γ = 90.00°
Positions (direct):
N 0.0000 0.0000 0.0000
In 0.5000 0.5000 0.5000
Mo 0.0000 0.0000 0.5000
Mo 0.0000 0.5000 0.0000
Mo 0.5000 0.0000 0.0000

Calculated values
distance to the lowest polymorph of the same formula: 0.000 eV per atom
raw formation energy: -0.052 eV/atom

The mass density results, record by record, are as follows: 7.3 7.8 4.9 7.8 7.9 8.6 9.9 9.6 8.9 10.2 6.2 9.8 g/cm3.